# TaMnPd2

A relaxed TaMnPd2 crystal (PBE, Alexandria via LeMat-Bulk).

Computed properties:
The density of states at the Fermi level comes out at 0.891 states/eV/atom. The value obtained for the energy of formation is -0.32 eV per formula unit.

Cell: 9.086 9.086 9.086 Å, 18.19 18.19 18.19°
Atoms (fractional coordinates):
Ta1 0.000 0.000 0.000
Mn1 0.834 0.834 0.834
Pd1 0.419 0.419 0.419
Pd2 0.581 0.581 0.581